(1)
Computed, not measured: a geometry-optimized GaFe2Ni structure at the PBE-GGA level of DFT.

The structure in POSCAR format:
```
GaFe2Ni
1.0
-1.7574 1.7768 3.8211
1.7574 -1.7768 3.8211
1.7574 1.7768 -3.8211
Ga Fe Ni
1 2 1
Cartesian
0.0000 0.0000 0.0000
1.7574 0.0000 1.9115
0.0000 1.7768 1.9096
0.0000 0.0000 3.8211
```

VASP energy   -26.37 eV/cell



(2)
Computed, not measured: a geometry-optimized Ga2FeNi8 structure at the PBE-GGA level of DFT.

The structure in POSCAR format:
```
Ga2FeNi8
1.0
3.1891 -5.6298 0.0000
3.1891 5.6298 0.0000
-1.8792 0.0000 3.7157
Ga Fe Ni
2 1 8
Cartesian
3.1891 3.4378 0.0000
3.1891 -3.4378 0.0000
2.2496 0.0000 1.8579
0.0236 0.0000 1.1510
0.2312 1.2222 3.2193
2.2496 2.3479 1.8579
0.2312 -1.2222 3.2193
4.2679 1.2222 0.4964
2.2496 -2.3479 1.8579
4.2679 -1.2222 0.4964
4.4755 0.0000 2.5647
```

Distance to the lowest polymorph of the same formula   0.000 eV/atom



(3)
Computed, not measured: a geometry-optimized GaFe2Ni2 structure at the PBE-GGA level of DFT.

The structure in POSCAR format:
```
GaFe2Ni2
1.0
6.9981 0.0000 0.0000
0.0000 6.9981 0.0000
0.0000 0.0000 2.5815
Ga Fe Ni
2 4 4
Cartesian
0.0000 0.0000 0.0000
3.4990 3.4990 0.0000
0.8458 2.6532 0.0000
2.6532 6.1523 0.0000
4.3448 0.8458 0.0000
6.1523 4.3448 0.0000
1.2095 4.7086 1.2908
2.2895 1.2095 1.2908
4.7086 5.7885 1.2908
5.7885 2.2895 1.2908
```

VASP energy   -62.07 eV/cell



(4)
Computed, not measured: a geometry-optimized GaFeNi6 structure at the PBE-GGA level of DFT.

The structure in POSCAR format:
```
GaFeNi6
1.0
3.5085 -2.3933 0.0000
3.5085 2.3933 0.0000
-1.9547 0.0000 6.0852
Ga Fe Ni
1 1 6
Cartesian
0.0000 0.0000 0.0000
2.5311 0.0000 3.0426
1.7023 1.2491 1.2288
0.1142 0.0000 2.6103
3.3600 1.2491 4.8565
1.7023 -1.2491 1.2288
4.9480 0.0000 3.4750
3.3600 -1.2491 4.8565
```

Distance to the lowest polymorph of the same formula   0.311 eV/atom



(5)
Computed, not measured: a geometry-optimized GaFeNi5 structure at the PBE-GGA level of DFT.

The structure in POSCAR format:
```
GaFeNi5
1.0
4.1872 -2.2992 0.0000
4.1872 2.2992 0.0000
-1.5107 0.0000 8.7634
Ga Fe Ni
2 2 10
Cartesian
3.0542 1.3277 6.5725
3.8095 -1.3277 2.1908
4.1872 0.0000 0.0000
3.4318 0.0000 4.3817
0.4539 0.0788 4.7071
1.2092 -0.0788 0.3254
0.9891 0.1548 7.0936
3.8095 1.0113 2.1908
1.7445 -0.1548 2.7119
5.1192 0.1548 6.0515
3.0542 -1.0113 6.5725
5.8746 -0.1548 1.6698
5.6545 0.0788 8.4380
6.4098 -0.0788 4.0563
```

Distance to the lowest polymorph of the same formula   0.011 eV/atom



(6)
Computed, not measured: a geometry-optimized Ga2FeNi structure at the PBE-GGA level of DFT.

The structure in POSCAR format:
```
Ga2FeNi
1.0
2.9303 0.0000 0.0000
0.0000 2.9303 0.0000
0.0000 0.0000 5.6821
Ga Fe Ni
2 1 1
Cartesian
0.0000 0.0000 1.3806
0.0000 0.0000 4.3015
1.4652 1.4652 0.0000
1.4652 1.4652 2.8410
```

VASP energy   -21.22 eV/cell



(7)
Computed, not measured: a geometry-optimized GaFe4Ni15 structure at the PBE-GGA level of DFT.

The structure in POSCAR format:
```
GaFe4Ni15
1.0
3.5534 0.0000 0.0000
0.0000 3.5534 0.0000
0.0000 0.0000 17.7184
Ga Fe Ni
1 4 15
Cartesian
0.0000 0.0000 0.0000
0.0000 0.0000 3.5497
0.0000 0.0000 7.0879
0.0000 0.0000 10.6304
0.0000 0.0000 14.1686
0.0000 1.7767 1.8245
0.0000 1.7767 5.3315
0.0000 1.7767 8.8592
0.0000 1.7767 12.3868
0.0000 1.7767 15.8939
1.7767 0.0000 1.8245
1.7767 0.0000 5.3315
1.7767 0.0000 8.8592
1.7767 0.0000 12.3868
1.7767 0.0000 15.8939
1.7767 1.7767 0.0000
1.7767 1.7767 3.5720
1.7767 1.7767 7.0944
1.7767 1.7767 10.6239
1.7767 1.7767 14.1463
```

VASP energy   -126.19 eV/cell



(8)
Computed, not measured: a geometry-optimized GaFe3Ni6 structure at the PBE-GGA level of DFT.

The structure in POSCAR format:
```
GaFe3Ni6
1.0
4.2020 -2.3936 0.0000
4.2020 2.3936 0.0000
-1.7927 0.0000 5.9526
Ga Fe Ni
1 3 6
Cartesian
0.0000 0.0000 0.0000
1.8677 0.0000 4.8793
3.3057 0.0000 2.9763
4.7436 0.0000 1.0733
2.5210 1.1866 1.1551
0.5838 0.0000 2.5798
4.0903 1.1866 4.7975
2.5210 -1.1866 1.1551
6.0275 0.0000 3.3728
4.0903 -1.1866 4.7975
```

Distance to the lowest polymorph of the same formula   0.208 eV/atom



(9)
Computed, not measured: a geometry-optimized GaFe3Ni6 structure at the PBE-GGA level of DFT.

The structure in POSCAR format:
```
GaFe3Ni6
1.0
7.9401 0.0000 0.0000
0.0000 3.5860 0.0000
-0.1211 0.0000 8.0260
Ga Fe Ni
2 6 12
Cartesian
0.4232 0.8965 3.0828
7.3959 2.6895 4.9432
1.8661 0.8965 8.0255
2.6668 2.6895 6.3872
3.4763 0.8965 4.8190
4.3427 2.6895 3.2070
5.1523 0.8965 1.6388
5.9530 2.6895 0.0005
0.3039 2.6895 7.2505
1.0770 0.8965 5.6123
1.2212 2.6895 1.5271
1.9229 2.6895 3.9837
2.8065 0.8965 2.3855
3.5828 2.6895 0.7941
4.2363 0.8965 7.2319
5.0125 2.6895 5.6405
5.8962 0.8965 4.0423
6.5979 0.8965 6.4989
6.7421 2.6895 2.4137
7.5152 0.8965 0.7755
```

Distance to the lowest polymorph of the same formula   0.000 eV/atom



(10)
Computed, not measured: a geometry-optimized GaFeNi2 structure at the PBE-GGA level of DFT.

The structure in POSCAR format:
```
GaFeNi2
1.0
2.6456 0.0000 0.0000
0.0000 2.6456 0.0000
0.0000 0.0000 6.7999
Ga Fe Ni
1 1 2
Cartesian
0.0000 0.0000 0.0000
0.0000 0.0000 3.3999
1.3228 1.3228 1.7017
1.3228 1.3228 5.0982
```

VASP energy   -23.76 eV/cell



(11)
Computed, not measured: a geometry-optimized Ga2FeNi7 structure at the PBE-GGA level of DFT.

The structure in POSCAR format:
```
Ga2FeNi7
1.0
3.7924 -7.0441 0.0000
3.7924 7.0441 0.0000
0.0000 0.0000 2.5126
Ga Fe Ni
2 1 7
Cartesian
3.7924 4.5505 0.0000
3.7924 -4.5505 0.0000
3.7924 0.0000 1.2563
0.0000 0.0000 0.0000
2.0888 1.2390 0.0000
3.7924 2.4932 1.2563
2.0888 -1.2390 0.0000
5.4960 1.2390 0.0000
3.7924 -2.4932 1.2563
5.4960 -1.2390 0.0000
```

VASP energy   -53.34 eV/cell



(12)
Computed, not measured: a geometry-optimized GaFeNi5 structure at the PBE-GGA level of DFT.

The structure in POSCAR format:
```
GaFeNi5
1.0
4.0440 0.0000 0.0000
0.0000 4.0440 0.0000
0.0000 0.0000 5.2716
Ga Fe Ni
1 1 5
Cartesian
0.0000 0.0000 0.0000
2.0220 2.0220 2.6358
0.0000 2.0220 1.3824
0.0000 2.0220 3.8892
2.0220 0.0000 1.3824
2.0220 0.0000 3.8892
2.0220 2.0220 0.0000
```

Distance to the lowest polymorph of the same formula   0.000 eV/atom



(13)
Computed, not measured: a geometry-optimized GaFe3Ni structure at the PBE-GGA level of DFT.

The structure in POSCAR format:
```
GaFe3Ni
1.0
4.3138 0.0000 0.0000
0.0000 4.3138 0.0000
0.0000 0.0000 4.3138
Ga Fe Ni
1 3 1
Cartesian
0.0000 0.0000 0.0000
0.0000 0.0000 2.1569
0.0000 2.1569 0.0000
2.1569 0.0000 0.0000
2.1569 2.1569 2.1569
```

Distance to the lowest polymorph of the same formula   1.071 eV/atom



(14)
Computed, not measured: a geometry-optimized Ga2Fe3Ni7 structure at the PBE-GGA level of DFT.

The structure in POSCAR format:
```
Ga2Fe3Ni7
1.0
1.9144 -10.9453 0.0000
1.9144 10.9453 0.0000
0.0000 0.0000 3.6171
Ga Fe Ni
2 3 7
Cartesian
1.9144 7.5503 0.0000
1.9144 -7.5503 0.0000
1.9144 3.3574 1.8086
1.9144 0.0000 1.8086
1.9144 -3.3574 1.8086
0.0000 0.0000 0.0000
1.9144 9.2354 1.8086
1.9144 4.8573 0.0000
1.9144 1.6404 0.0000
1.9144 -1.6404 0.0000
1.9144 -4.8573 0.0000
1.9144 -9.2354 1.8086
```

VASP energy   -71.63 eV/cell



(15)
Computed, not measured: a geometry-optimized Ga2FeNi8 structure at the PBE-GGA level of DFT.

The structure in POSCAR format:
```
Ga2FeNi8
1.0
3.6347 -4.8655 0.0000
3.6347 4.8655 0.0000
0.0000 0.0000 3.7804
Ga Fe Ni
2 1 8
Cartesian
3.6347 3.6114 0.0000
3.6347 -3.6114 0.0000
3.6347 0.0000 1.8902
1.2334 0.0000 1.8902
2.4094 1.2543 0.0000
3.6347 2.3366 1.8902
2.4094 -1.2543 0.0000
4.8600 1.2543 0.0000
3.6347 -2.3366 1.8902
4.8600 -1.2543 0.0000
6.0360 0.0000 1.8902
```

Distance to the lowest polymorph of the same formula   0.015 eV/atom



(16)
Computed, not measured: a geometry-optimized Ga2Fe4Ni structure at the PBE-GGA level of DFT.

The structure in POSCAR format:
```
Ga2Fe4Ni
1.0
2.0245 1.1688 5.9240
-2.0245 1.1688 5.9240
0.0000 -2.3377 5.9240
Ga Fe Ni
2 4 1
Cartesian
0.0000 0.0000 3.8756
0.0000 0.0000 13.8963
0.0000 0.0000 1.2006
0.0000 0.0000 6.3720
0.0000 0.0000 11.3998
0.0000 0.0000 16.5713
0.0000 0.0000 8.8859
```

VASP energy   -46.88 eV/cell



(17)
Computed, not measured: a geometry-optimized GaFe5Ni6 structure at the PBE-GGA level of DFT.

The structure in POSCAR format:
```
GaFe5Ni6
1.0
-1.7913 3.5671 5.3797
1.7913 -3.5671 5.3797
1.7913 3.5671 -5.3797
Ga Fe Ni
1 5 6
Cartesian
0.0000 0.0000 0.0000
1.7913 0.0000 1.8718
0.0000 0.0000 3.5994
0.0000 3.5671 0.0000
0.0000 0.0000 7.1599
0.0000 3.5671 3.5078
1.7913 -1.7827 3.5711
1.7913 1.7868 0.0000
0.0000 1.7844 1.8086
1.7913 1.7827 3.5711
0.0000 1.7803 5.3797
0.0000 5.3498 1.8086
```

VASP energy   -81.40 eV/cell



(18)
Computed, not measured: a geometry-optimized GaFe4Ni7 structure at the PBE-GGA level of DFT.

The structure in POSCAR format:
```
GaFe4Ni7
1.0
4.4842 -2.1624 0.0000
4.4842 2.1624 0.0000
-4.3570 0.0000 7.7226
Ga Fe Ni
1 4 7
Cartesian
0.0000 0.0000 0.0000
-0.5674 0.0000 5.3097
2.6777 0.0000 1.7697
1.9337 0.0000 5.9529
5.1789 0.0000 2.4129
-1.3053 0.0000 2.9257
-2.1306 0.0000 7.0792
1.0995 0.0000 3.5396
4.4842 0.0000 0.0000
3.5119 0.0000 4.1830
6.7420 0.0000 0.6434
5.9167 0.0000 4.7969
```

VASP energy   -75.29 eV/cell



(19)
Computed, not measured: a geometry-optimized GaFe2Ni6 structure at the PBE-GGA level of DFT.

The structure in POSCAR format:
```
GaFe2Ni6
1.0
7.5618 0.0000 0.0000
0.0000 7.5618 0.0000
0.0000 0.0000 3.5882
Ga Fe Ni
2 4 12
Cartesian
0.0000 0.0000 0.0000
3.7809 3.7809 1.7941
1.3592 1.3592 1.7941
2.4217 5.1401 0.0000
5.1401 2.4217 0.0000
6.2026 6.2026 1.7941
0.0404 2.5272 0.0000
1.2143 6.3475 1.7941
1.2537 3.8213 1.7941
2.5272 0.0404 0.0000
2.5666 2.5666 0.0000
3.7405 6.3081 1.7941
3.8213 1.2537 1.7941
4.9952 4.9952 0.0000
5.0346 7.5214 0.0000
6.3081 3.7405 1.7941
6.3475 1.2143 1.7941
7.5214 5.0346 0.0000
```

VASP energy   -111.76 eV/cell



(20)
Computed, not measured: a geometry-optimized Ga6FeNi23 structure at the PBE-GGA level of DFT.

The structure in POSCAR format:
```
Ga6FeNi23
1.0
-3.6327 3.6327 6.7598
3.6327 -3.6327 6.7598
3.6327 3.6327 -6.7598
Ga Fe Ni
6 1 23
Cartesian
1.7740 1.7740 0.0000
1.8587 -1.8587 6.7598
0.0000 0.0000 3.3864
0.0000 0.0000 10.1332
-1.8587 1.8587 6.7598
1.8587 1.8587 6.7598
0.0000 0.0000 6.7598
0.0000 0.0000 0.0000
1.8163 1.8163 -3.3799
1.8163 -1.8163 3.3799
3.6327 0.0000 0.0000
3.6327 1.7777 -1.7170
3.6327 -1.7671 4.9996
1.8656 0.0000 1.7602
5.3997 0.0000 1.7602
3.6327 1.7777 1.7170
1.7777 3.6327 -1.7170
1.8550 0.0000 5.0428
0.0000 1.8656 1.7602
-1.8163 1.8163 3.3799
0.0000 3.6327 0.0000
1.8163 1.8163 3.3799
3.6327 1.7671 4.9996
1.7777 3.6327 1.7170
1.8550 0.0000 8.4769
0.0000 1.8550 5.0428
-1.7671 3.6327 4.9996
1.7671 3.6327 4.9996
0.0000 5.3997 1.7602
0.0000 1.8550 8.4769
```

VASP energy   -162.64 eV/cell



(21)
Computed, not measured: a geometry-optimized GaFe2Ni2 structure at the PBE-GGA level of DFT.

The structure in POSCAR format:
```
GaFe2Ni2
1.0
6.8654 0.0000 0.0000
0.0000 6.8654 0.0000
0.0000 0.0000 2.6687
Ga Fe Ni
2 4 4
Cartesian
0.0000 0.0000 0.0000
3.4327 3.4327 0.0000
1.1524 2.2803 1.3343
2.2803 5.7130 1.3343
4.5851 1.1524 1.3343
5.7130 4.5851 1.3343
0.8764 4.3091 0.0000
2.5563 0.8764 0.0000
4.3091 5.9890 0.0000
5.9890 2.5563 0.0000
```

VASP energy   -62.78 eV/cell